# 1
First-principles (PBE) data for an optimized crystal structure of PmPuIr2, as listed in Alexandria.

## Properties
**Energy above the lowest structure with this stoichiometry**: 25 meV per atom
**Energy of formation from the pure elements**: -0.479 eV per atom
**Magnetization**: 1.10 μB per atom
**Crystal system**: tetragonal

abc: 3.450 3.450 7.072
angles: 90.00 90.00 90.00
Space group P4/mmm (No. 123)
Asymmetric unit:
Pm 0.000 0.000 0.000 (multiplicity 1)
Pu 0.000 0.000 0.500 (multiplicity 1)
Ir 0.500 0.500 0.271 (multiplicity 2)

# 2
First-principles (PBE) data for an optimized crystal structure of PmPuIr2, as listed in Alexandria.

## Properties
**Energy above the lowest structure with this stoichiometry**: 26 meV per atom
**Energy of formation from the pure elements**: -0.479 eV per atom
**Magnetization**: 1.13 μB per atom
**Crystal system**: cubic

abc: 6.950 6.950 6.950
angles: 90.00 90.00 90.00
Space group Fm-3m (No. 225)
Asymmetric unit:
Pm 0.000 0.000 0.000 (multiplicity 4)
Pu 0.000 0.000 0.500 (multiplicity 4)
Ir 0.250 0.250 0.250 (multiplicity 8)

# 3
First-principles (PBE) data for an optimized crystal structure of Pm12PuIr7, as listed in Alexandria.

## Properties
**Energy of formation from the pure elements**: -0.473 eV per atom
**Magnetization**: 0.24 μB per atom
**Crystal system**: trigonal

abc: 14.5150 14.5150 10.0780
angles: 90.00 90.00 120.00
Space group R-3 (No. 148, hexagonal axes)
Asymmetric unit:
Pm 0.0278 0.4424 0.1575 (multiplicity 18)
Pm 0.0447 0.8726 0.8308 (multiplicity 18)
Pu 0.0000 0.0000 0.5000 (multiplicity 3)
Ir 0.0000 0.0000 0.0000 (multiplicity 3)
Ir 0.0446 0.8669 0.3348 (multiplicity 18)

# 4
First-principles (PBE) data for an optimized crystal structure of PmPuIr, as listed in Alexandria.

## Properties
**Energy above the lowest structure with this stoichiometry**: 270 meV per atom
**Energy of formation from the pure elements**: -0.233 eV per atom
**Magnetization**: 1.88 μB per atom
**Crystal system**: trigonal

abc: 4.5361 4.5361 4.2517
angles: 90.00 90.00 120.00
Space group P3m1 (No. 156)
Asymmetric unit:
Pm 0.0000 0.0000 0.0000 (multiplicity 1)
Pu 0.3333 0.6667 0.4552 (multiplicity 1)
Ir 0.6667 0.3333 0.6798 (multiplicity 1)

# 5
First-principles (PBE) data for an optimized crystal structure of PmPu4Ir4, as listed in Alexandria.

## Properties
**Energy of formation from the pure elements**: -0.387 eV per atom
**Magnetization**: 2.19 μB per atom
**Crystal system**: tetragonal

abc: 8.972 8.972 5.543
angles: 90.00 90.00 90.00
Space group P4_2/n (No. 86, origin choice 2)
Asymmetric unit:
Pm 0.250 0.250 0.250 (multiplicity 2)
Pu 0.073 0.651 0.180 (multiplicity 8)
Ir 0.047 0.619 0.675 (multiplicity 8)

# 6
First-principles (PBE) data for an optimized crystal structure of PmPu3Ir2, as listed in Alexandria.

## Properties
**Energy above the lowest structure with this stoichiometry**: 0 meV per atom
**Energy of formation from the pure elements**: -0.369 eV per atom
**Magnetization**: 0.92 μB per atom
**Crystal system**: orthorhombic

abc: 4.020 8.746 8.035
angles: 90.00 90.00 90.00
Space group Pmc2_1 (No. 26)
Asymmetric unit:
Pm 0.000 0.085 0.000 (multiplicity 2)
Pu 0.000 0.303 0.599 (multiplicity 2)
Pu 0.500 0.197 0.333 (multiplicity 2)
Pu 0.500 0.426 0.934 (multiplicity 2)
Ir 0.000 0.391 0.210 (multiplicity 2)
Ir 0.500 0.117 0.723 (multiplicity 2)

Which of these has the highest magnetization? PmPu4Ir4